Entry from Alexandria: crystalline CoSnAsBr2 at its relaxed geometry (GGA-PBEsol).

Magnetization   0.000 μB/atom
Formation energy (no corrections)   0.12 eV/atom
Mass density   6322 kg/m3
E   -4.05 eV/atom

abc: 4.5279 4.8909 4.8909
angles: 90.00 90.00 90.00
With the nearest neighbours (Å) after each atom.
Fractional positions:
As: 0.5000 0.0000 0.0000  2 Co 2.26
Co: 0.0000 0.0000 0.0000  2 As 2.26, 4 Br 2.45
Sn: 0.5000 0.5000 0.5000  8 Br 3.33, 4 As 3.46
Br: 0.0000 0.0000 0.5000  2 Co 2.45
Br: 0.0000 0.5000 0.0000  2 Co 2.45